a | Here is Tl3SbC after structural relaxation from Alexandria via LeMat-Bulk. Energies are from PBE-GGA.

The structure in POSCAR format:
```
Tl3SbC
1.0
6.0715 0.0000 0.0000
0.0000 6.0715 0.0000
0.0000 0.0000 6.0715
Tl Sb C
3 1 1
Cartesian
0.0000 0.0000 3.0358
0.0000 3.0358 0.0000
3.0358 0.0000 0.0000
0.0000 0.0000 0.0000
3.0358 3.0358 3.0358
```


b | Here is Tl3SbC after structural relaxation from Alexandria via LeMat-Bulk. Energies are from PBE-GGA.

The structure in POSCAR format:
```
Tl3SbC
1.0
4.9991 0.0000 0.0000
0.0000 4.9991 0.0000
0.0000 0.0000 4.9991
Tl Sb C
3 1 1
Cartesian
0.0000 0.0000 2.4996
0.0000 2.4996 0.0000
2.4996 0.0000 0.0000
2.4996 2.4996 2.4996
0.0000 0.0000 0.0000
```


It is b that is most stable; the runner-up trails by 0.758 eV/atom.


a | Here is Tm4Sb2C after structural relaxation from Alexandria via LeMat-Bulk. Energies are from PBE-GGA.

The structure in POSCAR format:
```
Tm4Sb2C
1.0
-2.3572 2.3572 7.7577
2.3572 -2.3572 7.7577
2.3572 2.3572 -7.7577
Tm Sb C
4 2 1
Cartesian
2.3572 0.0000 0.0000
0.0000 0.0000 2.4253
0.0000 2.3572 0.0000
0.0000 0.0000 13.0901
0.0000 0.0000 5.5409
0.0000 0.0000 9.9745
0.0000 0.0000 0.0000
```


b | Here is Tm4Sb2C after structural relaxation from Alexandria via LeMat-Bulk. Energies are from PBE-GGA.

The structure in POSCAR format:
```
Tm4Sb2C
1.0
6.1410 -1.8495 0.0000
6.1410 1.8495 0.0000
-3.4380 0.0000 7.4314
Tm Sb C
4 2 1
Cartesian
-0.3878 0.0000 2.4090
1.1548 0.0000 7.0917
7.6892 0.0000 0.3397
9.2317 0.0000 5.0223
3.0572 0.0000 2.3808
5.7868 0.0000 5.0506
0.0000 0.0000 0.0000
```


It is a that is most stable; the runner-up trails by 0.077 eV/atom.


a | Here is SbW2C after structural relaxation from Alexandria via LeMat-Bulk. Energies are from PBE-GGA.

The structure in POSCAR format:
```
SbW2C
1.0
0.0000 3.1075 3.1075
3.1075 0.0000 3.1075
3.1075 3.1075 0.0000
Sb W C
1 2 1
Cartesian
0.0000 0.0000 0.0000
1.5537 1.5537 1.5537
4.6612 4.6612 4.6612
3.1075 3.1075 3.1075
```


b | Here is SbW2C after structural relaxation from Alexandria via LeMat-Bulk. Energies are from PBE-GGA.

The structure in POSCAR format:
```
SbW2C
1.0
-2.5175 2.5175 6.0411
2.5175 -2.5175 6.0411
2.5175 2.5175 -6.0411
Sb W C
2 4 2
Cartesian
0.0000 0.0000 0.0000
0.0000 2.5175 3.0205
1.2588 -0.5554 4.5308
1.9622 1.2588 1.5103
1.2588 3.0729 -1.5103
0.5554 1.2588 7.5514
2.5175 0.0000 3.0205
0.0000 0.0000 6.0411
```


It is b that is most stable; the runner-up trails by 0.595 eV/atom.


a | Here is Y4SbC2 after structural relaxation from Alexandria via LeMat-Bulk. Energies are from PBE-GGA.

The structure in POSCAR format:
```
Y4SbC2
1.0
-2.8158 2.8158 5.9973
2.8158 -2.8158 5.9973
2.8158 2.8158 -5.9973
Y Sb C
4 1 2
Cartesian
2.8158 0.0000 0.0000
0.0000 0.0000 2.9437
0.0000 2.8158 0.0000
0.0000 0.0000 9.0508
0.0000 0.0000 5.9973
0.0000 0.0000 0.6661
0.0000 0.0000 11.3285
```


b | Here is Y4SbC2 after structural relaxation from Alexandria via LeMat-Bulk. Energies are from PBE-GGA.

The structure in POSCAR format:
```
Y4SbC2
1.0
1.9201 -6.1668 0.0000
1.9201 6.1668 0.0000
0.0000 0.0000 12.8602
Y Sb C
8 2 4
Cartesian
0.0000 0.0000 0.0000
0.0000 0.0000 6.4301
1.9201 2.9413 7.7494
1.9201 2.9413 11.5408
1.9201 0.9867 3.2150
1.9201 -0.9867 9.6451
1.9201 -2.9413 1.3193
1.9201 -2.9413 5.1107
1.9201 4.7997 3.2150
1.9201 -4.7997 9.6451
1.9201 1.6778 0.7604
1.9201 1.6778 5.6697
1.9201 -1.6778 7.1905
1.9201 -1.6778 12.0998
```


It is b that is most stable; the runner-up trails by 0.388 eV/atom.


a | Here is Zn2SbC after structural relaxation from Alexandria via LeMat-Bulk. Energies are from PBE-GGA.

The structure in POSCAR format:
```
Zn2SbC
1.0
0.0000 3.2241 3.2241
3.2241 0.0000 3.2241
3.2241 3.2241 0.0000
Zn Sb C
2 1 1
Cartesian
1.6120 1.6120 1.6120
4.8361 4.8361 4.8361
0.0000 0.0000 0.0000
3.2241 3.2241 3.2241
```


b | Here is Zn2SbC after structural relaxation from Alexandria via LeMat-Bulk. Energies are from PBE-GGA.

The structure in POSCAR format:
```
Zn2SbC
1.0
-2.9628 2.9628 4.4102
2.9628 -2.9628 4.4102
2.9628 2.9628 -4.4102
Zn Sb C
4 2 2
Cartesian
0.5906 1.4814 1.1025
-1.4814 2.3722 3.3076
-0.5906 4.4442 1.1025
1.4814 3.5534 3.3076
2.9628 0.0000 2.2051
0.0000 0.0000 4.4102
0.0000 0.0000 0.0000
0.0000 2.9628 2.2051
```


It is b that is most stable; the runner-up trails by 0.666 eV/atom.


a | Here is ZnSb2C2 after structural relaxation from Alexandria via LeMat-Bulk. Energies are from PBE-GGA.

The structure in POSCAR format:
```
ZnSb2C2
1.0
-1.9246 1.9246 7.0606
1.9246 -1.9246 7.0606
1.9246 1.9246 -7.0606
Zn Sb C
1 2 2
Cartesian
0.0000 0.0000 0.0000
0.0000 0.0000 4.7514
0.0000 0.0000 9.3699
1.9246 0.0000 3.5303
0.0000 1.9246 3.5303
```


b | Here is ZnSb2C2 after structural relaxation from Alexandria via LeMat-Bulk. Energies are from PBE-GGA.

The structure in POSCAR format:
```
ZnSb2C2
1.0
7.5308 0.0000 0.0000
0.0000 7.5308 0.0000
0.0000 0.0000 3.3794
Zn Sb C
2 4 4
Cartesian
0.0000 0.0000 0.0000
3.7654 3.7654 0.0000
1.1603 2.6051 0.0000
2.6051 6.3704 0.0000
4.9257 1.1603 0.0000
6.3704 4.9257 0.0000
1.6796 5.4450 1.6897
2.0858 1.6796 1.6897
5.4450 5.8512 1.6897
5.8512 2.0858 1.6897
```


It is a that is most stable; the runner-up trails by 0.353 eV/atom.


a | Here is ZnSbC3 after structural relaxation from Alexandria via LeMat-Bulk. Energies are from PBE-GGA.

The structure in POSCAR format:
```
ZnSbC3
1.0
4.0445 0.0000 0.0000
0.0000 4.0445 0.0000
0.0000 0.0000 4.0445
Zn Sb C
1 1 3
Cartesian
0.0000 0.0000 0.0000
2.0223 2.0223 2.0223
0.0000 0.0000 2.0223
0.0000 2.0223 0.0000
2.0223 0.0000 0.0000
```


b | Here is ZnSbC3 after structural relaxation from Alexandria via LeMat-Bulk. Energies are from PBE-GGA.

The structure in POSCAR format:
```
ZnSbC3
1.0
4.2658 0.0000 0.0000
0.0000 4.2658 0.0000
0.0000 0.0000 4.2658
Zn Sb C
1 1 3
Cartesian
0.0000 0.0000 0.0000
2.1329 2.1329 2.1329
0.0000 2.1329 2.1329
2.1329 0.0000 2.1329
2.1329 2.1329 0.0000
```


It is a that is most stable; the runner-up trails by 0.173 eV/atom.


a | Here is ZnSb3C after structural relaxation from Alexandria via LeMat-Bulk. Energies are from PBE-GGA.

The structure in POSCAR format:
```
ZnSb3C
1.0
4.7914 0.0000 0.0000
0.0000 4.7914 0.0000
0.0000 0.0000 4.7914
Zn Sb C
1 3 1
Cartesian
0.0000 0.0000 0.0000
0.0000 2.3957 2.3957
2.3957 0.0000 2.3957
2.3957 2.3957 0.0000
2.3957 2.3957 2.3957
```


b | Here is ZnSb3C after structural relaxation from Alexandria via LeMat-Bulk. Energies are from PBE-GGA.

The structure in POSCAR format:
```
ZnSb3C
1.0
5.1814 0.0000 0.0000
0.0000 5.1814 0.0000
0.0000 0.0000 5.1814
Zn Sb C
1 3 1
Cartesian
0.0000 0.0000 0.0000
0.0000 0.0000 2.5907
0.0000 2.5907 0.0000
2.5907 0.0000 0.0000
2.5907 2.5907 2.5907
```


It is a that is most stable; the runner-up trails by 0.868 eV/atom.